Record 1
A plane-wave DFT calculation with GGA-PBE was carried out for crystalline NaLuIn at its relaxed geometry.

- VASP energy: -2.899 eV/atom
- Space-group type: P3m1 (156)

Cell lengths 5.2501, 5.2501, 3.3048 Å; angles 90.00, 90.00, 120.00 degrees
Positions (direct):
Na: 0.0000 0.0000 0.0000
Lu: 0.3333 0.6667 0.5031
In: 0.6667 0.3333 0.0056

=====

Record 2
A plane-wave DFT calculation with GGA-PBE was carried out for crystalline NaPmLuIn at its relaxed geometry.

- VASP energy: -3.444 eV/atom
- Space-group type: F-43m (216)

Cell lengths 5.4074, 5.4074, 5.4074 Å; angles 60.00, 60.00, 60.00 degrees
Positions (direct):
Na: 0.0000 0.0000 0.0000
Pm: 0.7500 0.7500 0.7500
Lu: 0.2500 0.2500 0.2500
In: 0.5000 0.5000 0.5000

=====

What did the first record say?
A plane-wave DFT calculation with GGA-PBE was carried out for crystalline NaLuIn at its relaxed geometry.

- VASP energy: -2.899 eV/atom
- Space-group type: P3m1 (156)

Cell lengths 5.2501, 5.2501, 3.3048 Å; angles 90.00, 90.00, 120.00 degrees
Positions (direct):
Na: 0.0000 0.0000 0.0000
Lu: 0.3333 0.6667 0.5031
In: 0.6667 0.3333 0.0056